(1)
Density functional theory data (PBE) for an optimized crystal structure of VIn3Os.

Lattice parameters (Å, degrees): 5.0499 5.0499 5.0499 90.00 90.00 90.00
Last column: nearest neighbours and their distance in Å.
Atoms (fractional coordinates):
V  0.0000  0.0000  0.0000  6 In 2.52
In  0.0000  0.0000  0.5000  2 V 2.52
In  0.0000  0.5000  0.0000  2 V 2.52
In  0.5000  0.0000  0.0000  2 V 2.52
Os  0.5000  0.5000  0.5000  12 In 3.57

Output
ρ, g/cm3: 7.55
Space group: Pm-3m
E above lowest polymorph, eV/atom: 0.822
Energy of formation, eV/atom: 1.62


(2)
Density functional theory data (PBE) for an optimized crystal structure of Hf7Zn2Ir2.

Lattice parameters (Å, degrees): 6.1769 6.1769 6.5404 90.00 90.00 105.32
Last column: nearest neighbours and their distance in Å.
Atoms (fractional coordinates):
Hf  0.0000  0.0000  0.0000  2 Ir 2.78
Hf  0.0000  0.5000  0.2662  2 Ir 2.58
Hf  0.0000  0.5000  0.7338  2 Ir 2.58
Hf  0.5000  0.0000  0.2662  2 Ir 2.58
Hf  0.5000  0.0000  0.7338  2 Ir 2.58
Hf  0.5000  0.5000  0.2654  2 Ir 2.75, 2 Zn 2.92, 1 Hf 3.07
Hf  0.5000  0.5000  0.7346  2 Ir 2.75, 2 Zn 2.92, 1 Hf 3.07
Zn  0.1683  0.1683  0.5000  1 Zn 2.52
Zn  0.8317  0.8317  0.5000  1 Zn 2.52
Ir  0.2825  0.7175  0.0000  7 Hf 2.58-2.78
Ir  0.7175  0.2825  0.0000  7 Hf 2.58-2.78

Output
ρ, g/cm3: 12.18
Space group: Cmmm
Energy of formation, eV/atom: -0.10


(3)
Density functional theory data (PBE) for an optimized crystal structure of Ba3AcC2N6.

Lattice parameters (Å, degrees): 5.9707 5.9707 7.1466 90.00 90.00 120.00
Last column: nearest neighbours and their distance in Å.
Atoms (fractional coordinates):
Ba  0.0000  0.0000  0.0000  6 N 2.90
Ba  0.3333  0.6667  0.6740  1 C 2.87, 9 N 3.02-3.11
Ba  0.6667  0.3333  0.3260  1 C 2.87, 9 N 3.02-3.11
Ac  0.0000  0.0000  0.5000  6 N 2.59
C  0.3333  0.6667  0.2731  3 N 1.37
C  0.6667  0.3333  0.7269  3 N 1.37
N  0.2006  0.4012  0.2831  1 C 1.37
N  0.2006  0.7994  0.2831  1 C 1.37
N  0.4012  0.2006  0.7169  1 C 1.37
N  0.5988  0.7994  0.2831  1 C 1.37
N  0.7994  0.2006  0.7169  1 C 1.37
N  0.7994  0.5988  0.7169  1 C 1.37

Output
ρ, g/cm3: 5.62
Space group: P-3m1
E_form (uncorrected), meV/atom: -593


(4)
Density functional theory data (PBE) for an optimized crystal structure of HfTi2CrW.

Lattice parameters (Å, degrees): 4.3263 4.3263 4.9067 90.00 90.00 90.00
Last column: nearest neighbours and their distance in Å.
Atoms (fractional coordinates):
Hf  0.0000  0.0000  0.0000  2 Cr 2.45
Ti  0.0000  0.5000  0.5000  2 Cr 2.16
Ti  0.5000  0.0000  0.5000  2 Cr 2.16
Cr  0.0000  0.0000  0.5000  4 Ti 2.16
W  0.5000  0.5000  0.0000  4 Hf 3.06, 8 Ti 3.27

Output
ρ, g/cm3: 9.22
Space group: P4/mmm
Energy of formation, eV/atom: 0.89


(5)
Density functional theory data (PBE) for an optimized crystal structure of Pr6RuRh2.

Lattice parameters (Å, degrees): 6.8371 7.5117 12.0713 90.00 121.47 90.00
Last column: nearest neighbours and their distance in Å.
Atoms (fractional coordinates):
Pr  0.0873  0.0543  0.2509  1 Ru 2.79, 2 Rh 2.91-2.94
Pr  0.0873  0.4457  0.7509  1 Ru 2.79, 2 Rh 2.91-2.94
Pr  0.2500  0.6792  0.0755  1 Ru 2.82, 2 Rh 3.00-3.03
Pr  0.2500  0.8208  0.5755  1 Ru 2.82, 2 Rh 3.00-3.03
Pr  0.4029  0.1795  0.0683  1 Ru 2.78, 1 Rh 2.92
Pr  0.4029  0.3205  0.5683  1 Ru 2.78, 1 Rh 2.92
Pr  0.5971  0.6795  0.4317  1 Ru 2.78, 1 Rh 2.92
Pr  0.5971  0.8205  0.9317  1 Ru 2.78, 1 Rh 2.92
Pr  0.7500  0.1792  0.4245  1 Ru 2.82, 2 Rh 3.00-3.03
Pr  0.7500  0.3208  0.9245  1 Ru 2.82, 2 Rh 3.00-3.03
Pr  0.9127  0.5543  0.2491  1 Ru 2.79, 2 Rh 2.91-2.94
Pr  0.9127  0.9457  0.7491  1 Ru 2.79, 2 Rh 2.91-2.94
Ru  0.0000  0.0000  0.0000  6 Pr 2.78-2.82
Ru  0.0000  0.5000  0.5000  6 Pr 2.78-2.82
Rh  0.3166  0.1126  0.7654  6 Pr 2.91-3.15
Rh  0.3166  0.3874  0.2654  6 Pr 2.91-3.15
Rh  0.6834  0.6126  0.7346  6 Pr 2.91-3.15
Rh  0.6834  0.8874  0.2346  6 Pr 2.91-3.15

Output
ρ, g/cm3: 7.24
Space group: P2_1/c
Energy of formation, eV/atom: -0.37


(6)
Density functional theory data (PBE) for an optimized crystal structure of PrCd2Cu9.

Lattice parameters (Å, degrees): 8.5569 8.5569 8.5569 34.86 34.86 34.86
Last column: nearest neighbours and their distance in Å.
Atoms (fractional coordinates):
Pr  0.0000  0.0000  0.0000  18 Cu 2.96-3.27
Cd  0.1443  0.1443  0.1443  12 Cu 2.92-3.01, 3 Cd 3.15
Cd  0.8557  0.8557  0.8557  12 Cu 2.92-3.01, 3 Cd 3.15
Cu  0.0822  0.5856  0.5856  7 Cu 2.48-2.58
Cu  0.3334  0.3334  0.3334  6 Cu 2.51-2.52
Cu  0.4144  0.4144  0.9178  7 Cu 2.48-2.58
Cu  0.4144  0.9178  0.4144  7 Cu 2.48-2.58
Cu  0.5000  0.5000  0.5000  6 Cu 2.48
Cu  0.5856  0.0822  0.5856  7 Cu 2.48-2.58
Cu  0.5856  0.5856  0.0822  7 Cu 2.48-2.58
Cu  0.6666  0.6666  0.6666  6 Cu 2.51-2.52
Cu  0.9178  0.4144  0.4144  7 Cu 2.48-2.58

Output
ρ, g/cm3: 8.52
Space group: R-3m
Energy of formation, eV/atom: -0.10


(7)
Density functional theory data (PBE) for an optimized crystal structure of Mn2AgOs.

Lattice parameters (Å, degrees): 2.7485 2.7485 7.5956 90.00 90.00 90.00
Last column: nearest neighbours and their distance in Å.
Atoms (fractional coordinates):
Mn  0.0000  0.0000  0.0000  8 Mn 2.59-2.75, 4 Ag 2.87
Mn  0.5000  0.5000  0.2263  4 Os 2.47, 8 Mn 2.59-2.75
Ag  0.5000  0.5000  0.7215  4 Ag 2.75, 4 Mn 2.87, 4 Os 2.97
Os  0.0000  0.0000  0.4265  4 Mn 2.47, 4 Os 2.75

Output
ρ, g/cm3: 11.81
Space group: P4mm
Energy of formation, eV/atom: 0.32


(8)
Density functional theory data (PBE) for an optimized crystal structure of Ac2HgPb3.

Lattice parameters (Å, degrees): 3.8645 5.4622 9.4858 90.00 90.00 90.00
Last column: nearest neighbours and their distance in Å.
Atoms (fractional coordinates):
Ac  0.0000  0.0000  0.0000  2 Hg 3.64, 10 Pb 3.69-3.82, 2 Ac 3.86
Ac  0.0000  0.5000  0.4852  8 Pb 3.60-3.77, 4 Hg 3.67, 2 Ac 3.86
Hg  0.5000  0.0000  0.3251  3 Pb 3.11-3.12
Pb  0.5000  0.0000  0.6530  1 Hg 3.11, 2 Pb 3.19
Pb  0.5000  0.5000  0.1653  2 Hg 3.12, 1 Pb 3.22
Pb  0.5000  0.5000  0.8260  3 Pb 3.19-3.22

Output
ρ, g/cm3: 10.58
Space group: Pmm2
Energy of formation, eV/atom: -0.37


no.,E_tot (eV per atom)
1,-4.090
2,-8.275
3,-7.116
4,-8.776
5,-6.217
6,-3.726
7,-7.784
8,-3.643